1.
Compound: CeCoP2O8
Source: Alexandria
Functional: PBE+U
Structure: relaxed

Summary:
E (eV/atom): -7.41

Cell: 5.1441 5.1441 6.6248 Å, 90.00 90.00 120.00°
With the nearest neighbours (Å) after each atom.
Space group P-3m1 (No. 164)
Asymmetric unit:
Ce (0.0000, 0.0000, 0.0000) (multiplicity 1)  6 O 2.46
Co (0.0000, 0.0000, 0.5000) (multiplicity 1)  6 O 2.03
P (0.3333, 0.6667, 0.2222) (multiplicity 2)  4 O 1.54-1.55
O (0.1682, 0.3364, 0.2942) (multiplicity 6)  1 P 1.55
O (0.3333, 0.6667, 0.9898) (multiplicity 2)  1 P 1.54

***

2.
Compound: CePuCo2O8
Source: Alexandria
Functional: PBE+U
Structure: relaxed

Summary:
E (eV/atom): -7.76

Cell: 6.9512 6.9512 6.6544 Å, 90.00 90.00 90.00°
With the nearest neighbours (Å) after each atom.
Space group I-4m2 (No. 119)
Asymmetric unit:
Ce (0.0000, 0.0000, 0.0000) (multiplicity 2)  8 O 2.24-2.48
Pu (0.0000, 0.5000, 0.2500) (multiplicity 2)  4 O 2.08
Co (0.0000, 0.0000, 0.5000) (multiplicity 2)  4 O 1.92
Co (0.0000, 0.5000, 0.7500) (multiplicity 2)  4 O 1.78
O (0.0000, 0.2050, 0.3059) (multiplicity 8)  1 Co 1.92, 1 Pu 2.08
O (0.0000, 0.3156, 0.9356) (multiplicity 8)  1 Co 1.78

***

3.
Compound: Rb3Ce3CoO8
Source: Alexandria
Functional: PBE+U
Structure: relaxed

Summary:
E (eV/atom): -6.78

Cell: 12.1550 7.0546 7.7212 Å, 90.00 121.67 90.00°
With the nearest neighbours (Å) after each atom.
Space group C2/m (No. 12)
Asymmetric unit:
Rb (0.0000, 0.0000, 0.0000) (multiplicity 2)  6 O 2.92-3.00
Rb (0.2500, 0.2500, 0.0000) (multiplicity 4)  6 O 2.93-3.00
Ce (0.0000, 0.5000, 0.5000) (multiplicity 2)  6 O 2.30-2.35
Ce (0.2500, 0.2500, 0.5000) (multiplicity 4)  6 O 2.30-2.35
Co (0.0000, 0.0000, 0.5000) (multiplicity 2)  6 O 2.24-2.31
O (0.0283, 0.2508, 0.3348) (multiplicity 8)  2 Ce 2.30, 1 Co 2.31
O (0.2159, 0.0000, 0.6607) (multiplicity 4)  1 Co 2.24, 2 Ce 2.32
O (0.2268, 0.5000, 0.6793) (multiplicity 4)  3 Ce 2.35

***

Question: Look up the E of the third one.
Answer: -6.78 eV/atom